An optimized crystal structure of Zr2Al2F, computed with PBE.

Results
For the size of the total moment, the calculation gives 0.000 μB per formula unit. Its total DFT energy (no corrections) is -6.17 eV per atom. The uncorrected formation energy is -0.8792 eV per atom. The symmetry is No. 127. Its energy relative to the lowest polymorph listed for this composition is 0.0 meV per atom.

Cell: 6.1990 6.1990 4.8301 Å, 90.00 90.00 90.00°
Positions (direct):
Al: 0.1525 0.6525 0.5000
Al: 0.6525 0.8475 0.5000
Al: 0.8475 0.3475 0.5000
Al: 0.3475 0.1525 0.5000
Zr: 0.8349 0.6651 0.0000
Zr: 0.1651 0.3349 0.0000
Zr: 0.6651 0.1651 0.0000
Zr: 0.3349 0.8349 0.0000
F: 0.0000 0.0000 0.0000
F: 0.5000 0.5000 0.0000